1.
A plane-wave DFT calculation with GGA-PBE was carried out for crystalline Ho2Ni4As3Pt at its relaxed geometry.

Properties
**Volume**: 16.09 Å³/atom
**DFT formation energy**: -0.739 eV per atom
**DOS at the Fermi energy**: 8.19 states/eV per cell

abc: 3.9823 3.9823 10.1474
angles: 90.00 90.00 90.00
Atoms (fractional coordinates):
Ni  0.5000  0.5000  0.0000
As  0.5000  0.0000  0.8713
As  0.0000  0.0000  0.5000
As  0.0000  0.5000  0.1287
Ho  0.5000  0.0000  0.2492
Ni  0.0000  0.0000  0.0000
Ni  0.5000  0.0000  0.6486
Pt  0.5000  0.5000  0.5000
Ho  0.0000  0.5000  0.7508
Ni  0.0000  0.5000  0.3514

---

2.
A plane-wave DFT calculation with GGA-PBE was carried out for crystalline HoNiAs2Rh2 at its relaxed geometry.

Properties
**Volume**: 18.07 Å³/atom
**DFT formation energy**: -0.277 eV per atom
**DOS at the Fermi energy**: 3.97 states/eV per cell

abc: 4.4639 4.4639 5.4416
angles: 90.00 90.00 90.00
Atoms (fractional coordinates):
Ho  0.0000  0.0000  0.5000
As  0.5000  0.0000  0.0000
As  0.0000  0.5000  0.0000
Rh  0.5000  0.5000  0.2593
Ni  0.0000  0.0000  0.0000
Rh  0.5000  0.5000  0.7407

---

3.
A plane-wave DFT calculation with GGA-PBE was carried out for crystalline SmHoNi2As2 at its relaxed geometry.

Properties
**Volume**: 18.72 Å³/atom
**DFT formation energy**: -1.049 eV per atom
**DOS at the Fermi energy**: 2.80 states/eV per cell

abc: 4.0704 4.0704 7.8274
angles: 90.00 90.00 120.00
Atoms (fractional coordinates):
Sm  0.0000  0.0000  0.0000
Ho  0.0000  0.0000  0.5000
Ni  0.6667  0.3333  0.2571
As  0.3333  0.6667  0.2566
Ni  0.3333  0.6667  0.7429
As  0.6667  0.3333  0.7434

---

4.
A plane-wave DFT calculation with GGA-PBE was carried out for crystalline SrHoNi2As2 at its relaxed geometry.

Properties
**Volume**: 20.01 Å³/atom
**DFT formation energy**: -0.934 eV per atom
**DOS at the Fermi energy**: 3.87 states/eV per cell

abc: 4.0791 4.0791 8.3317
angles: 90.00 90.00 120.00
Atoms (fractional coordinates):
Ho  0.0000  0.0000  0.5000
Ni  0.6667  0.3333  0.2786
As  0.3333  0.6667  0.2692
Ni  0.3333  0.6667  0.7214
As  0.6667  0.3333  0.7308
Sr  0.0000  0.0000  0.0000

---

5.
A plane-wave DFT calculation with GGA-PBE was carried out for crystalline Ho8NiTe4As3 at its relaxed geometry.

Properties
**Volume**: 26.46 Å³/atom
**Formation energy (no corrections)**: -1288 meV per atom
**DOS at the Fermi energy**: 10.60 states/eV per cell

abc: 8.3437 8.5156 8.3446
angles: 119.34 120.00 90.00
Atoms (fractional coordinates):
As  0.5000  0.5000  0.5000
Ho  0.7514  0.7134  0.9824
Ho  0.2486  0.2866  0.0176
Te  0.0000  0.0000  0.0000
Ho  0.7677  0.2854  0.5353
As  0.0000  0.5000  0.5000
Ho  0.2606  0.2816  0.5211
Ho  0.7690  0.2866  0.0176
Te  0.5000  0.0000  0.5000
Ho  0.2323  0.7146  0.4647
Te  0.0000  0.0000  0.5000
Ho  0.7394  0.7184  0.4789
Te  0.5000  0.0000  0.0000
Ni  0.0000  0.5000  0.0000
Ho  0.2310  0.7134  0.9824
As  0.5000  0.5000  0.0000

---

6.
A plane-wave DFT calculation with GGA-PBE was carried out for crystalline Ho5Zr3Ni16As12 at its relaxed geometry.

Properties
**Volume**: 15.39 Å³/atom
**DFT formation energy**: -0.831 eV per atom
**DOS at the Fermi energy**: 20.24 states/eV per cell

abc: 12.7618 12.7618 3.9279
angles: 90.00 90.00 120.00
Atoms (fractional coordinates):
As  0.4791  0.3061  0.5000
Ni  0.3626  0.8789  0.5000
As  0.1729  0.6939  0.5000
Ni  0.1842  0.8075  0.0000
Ni  0.7245  0.0000  0.5000
Ni  0.8075  0.1842  0.0000
Ni  0.3767  0.1925  0.0000
Ni  0.5163  0.6374  0.5000
Ni  0.1925  0.3767  0.0000
Ni  0.6233  0.8158  0.0000
As  0.1778  0.1778  0.0000
Zr  0.5641  0.0000  0.0000
As  0.0000  0.3562  0.0000
As  0.5209  0.8271  0.5000
Ho  0.3333  0.6667  0.0000
Ni  0.6374  0.5163  0.5000
Ho  0.1844  0.0000  0.5000
Zr  0.0000  0.5641  0.0000
Ni  0.8789  0.3626  0.5000
As  0.8271  0.5209  0.5000
As  0.3061  0.4791  0.5000
As  0.6939  0.1729  0.5000
Ni  0.1211  0.4837  0.5000
Zr  0.4359  0.4359  0.0000
Ni  0.8158  0.6233  0.0000
As  0.0000  0.8222  0.0000
Ni  0.2755  0.2755  0.5000
Ho  0.0000  0.1844  0.5000
Ni  0.0000  0.7245  0.5000
Ni  0.4837  0.1211  0.5000
Ho  0.8156  0.8156  0.5000
Ni  0.0000  0.0000  0.0000
As  0.3562  0.0000  0.0000
Ho  0.6667  0.3333  0.0000
As  0.6438  0.6438  0.0000
As  0.8222  0.0000  0.0000

---

7.
A plane-wave DFT calculation with GGA-PBE was carried out for crystalline HoNp2As3 at its relaxed geometry.

Properties
**Volume**: 24.42 Å³/atom
**DFT formation energy**: -0.961 eV per atom
**DOS at the Fermi energy**: 72.75 states/eV per cell

abc: 7.1076 7.1076 12.9706
angles: 100.53 100.53 109.46
Last column: magnetic moment on the atom in μB.
Atoms (fractional coordinates):
As  0.9163  0.9171  0.3338  -0.09
Np  0.5836  0.5836  0.1672  3.73
Np  0.6664  0.1664  0.3328  3.73
As  0.8325  0.3333  0.1662  -0.09
As  0.5833  0.5825  0.6662  -0.09
Ho  0.1666  0.6666  0.3333  0.00
As  0.1671  0.6663  0.8338  -0.09
Np  0.7502  0.7502  0.5004  3.71
Np  0.4164  0.4164  0.8328  3.73
As  0.3337  0.8329  0.1662  -0.09
As  0.6667  0.1675  0.8338  -0.09
As  0.2504  0.2504  0.0000  -0.09
Ho  0.0834  0.0834  0.1667  0.00
As  0.7496  0.7496  0.0000  -0.09
Np  0.4998  0.9998  0.9996  3.71
Np  0.2498  0.2498  0.4996  3.71
As  0.4175  0.4167  0.3338  -0.09
Np  0.8336  0.3336  0.6672  3.73
Np  0.0002  0.5002  0.0004  3.71
Ho  0.3334  0.8334  0.6667  0.00
Ho  0.9166  0.9166  0.8333  0.00
As  0.9996  0.4996  0.5000  -0.09
As  0.0829  0.0837  0.6662  -0.09
As  0.5004  0.0004  0.5000  -0.09

---

8.
A plane-wave DFT calculation with GGA-PBE was carried out for crystalline Ho5NpAs6 at its relaxed geometry.

Properties
**Volume**: 24.36 Å³/atom
**DFT formation energy**: -1.381 eV per atom
**DOS at the Fermi energy**: 11.26 states/eV per cell

abc: 7.0998 7.0998 7.1007
angles: 99.58 99.58 120.01
Last column: magnetic moment on the atom in μB.
Atoms (fractional coordinates):
Ho  0.1673  0.8327  0.5000  0.01
As  0.7515  0.7515  0.2486  -0.03
As  0.0832  0.4147  0.2496  -0.04
As  0.4147  0.0832  0.2496  -0.04
As  0.5853  0.9168  0.7504  -0.04
Ho  0.3335  0.6665  0.0000  0.02
Ho  0.6665  0.3335  0.0000  0.02
As  0.2485  0.2485  0.7514  -0.03
Np  0.0000  0.0000  0.0000  3.61
Ho  0.8327  0.1673  0.5000  0.01
Ho  0.5000  0.5000  0.5000  0.01
As  0.9168  0.5853  0.7504  -0.04

---

9.
A plane-wave DFT calculation with GGA-PBE was carried out for crystalline Ho4NpAs5 at its relaxed geometry.

Properties
**Volume**: 24.34 Å³/atom
**DFT formation energy**: -1.355 eV per atom
**DOS at the Fermi energy**: 10.92 states/eV per cell

abc: 4.0954 5.7911 10.8578
angles: 105.47 100.87 90.00
Last column: magnetic moment on the atom in μB.
Atoms (fractional coordinates):
Np  0.0000  0.0000  0.0000  3.62
As  0.2003  0.7003  0.4007  -0.01
As  0.5992  0.0992  0.1984  -0.06
As  0.7997  0.2997  0.5993  -0.01
Ho  0.7986  0.7986  0.5973  0.00
Ho  0.3989  0.3989  0.7978  0.01
Ho  0.2014  0.2014  0.4027  0.00
As  0.4008  0.9008  0.8016  -0.06
As  0.0000  0.5000  0.0000  -0.06
Ho  0.6011  0.6011  0.2022  0.01

---

10.
A plane-wave DFT calculation with GGA-PBE was carried out for crystalline HoNp4As5 at its relaxed geometry.

Properties
**Volume**: 24.33 Å³/atom
**DFT formation energy**: -0.820 eV per atom
**DOS at the Fermi energy**: 36.94 states/eV per cell

abc: 4.0699 5.7932 10.9078
angles: 105.40 100.75 90.00
Last column: magnetic moment on the atom in μB.
Atoms (fractional coordinates):
Np  0.4014  0.4014  0.8029  3.67
Ho  0.0000  0.0000  0.0000  0.02
Np  0.2005  0.2005  0.4011  -3.69
As  0.0000  0.5000  0.0000  -0.09
Np  0.7995  0.7995  0.5989  -3.69
As  0.1991  0.6991  0.3983  0.03
As  0.3994  0.8994  0.7988  0.00
As  0.6006  0.1006  0.2012  0.00
As  0.8009  0.3009  0.6017  0.03
Np  0.5986  0.5986  0.1971  3.67

---

11.
A plane-wave DFT calculation with GGA-PBE was carried out for crystalline HoNpAsO2 at its relaxed geometry.

Properties
**Volume**: 17.30 Å³/atom
**Formation energy (no corrections)**: -2426 meV per atom
**DOS at the Fermi energy**: 10.94 states/eV per cell

abc: 3.7776 3.7776 6.6230
angles: 106.57 106.57 90.00
Last column: magnetic moment on the atom in μB.
Atoms (fractional coordinates):
Np  0.1471  0.1471  0.2941  3.28
O  0.7496  0.2496  0.4992  -0.06
As  0.5035  0.5035  0.0070  -0.15
O  0.2496  0.7496  0.4992  -0.06
Ho  0.8503  0.8503  0.7005  -0.01

---

12.
A plane-wave DFT calculation with GGA-PBE was carried out for crystalline Ho2NpPaAs4 at its relaxed geometry.

Properties
**Volume**: 24.35 Å³/atom
**DFT formation energy**: -1.200 eV per atom
**DOS at the Fermi energy**: 11.69 states/eV per cell

abc: 4.0986 7.0813 7.1201
angles: 109.46 90.00 90.00
Last column: magnetic moment on the atom in μB.
Atoms (fractional coordinates):
As  0.5000  0.2510  0.2495  -0.05
As  0.0000  0.7486  0.2503  -0.03
Ho  0.0000  0.5000  0.5000  0.00
Np  0.0000  0.0000  0.0000  3.80
As  0.0000  0.2514  0.7497  -0.03
As  0.5000  0.7490  0.7505  -0.05
Pa  0.5000  0.5000  0.0000  0.55
Ho  0.5000  0.0000  0.5000  0.02